(1)
First-principles (PBE-GGA) data for ZnPtRh2 after structural relaxation, as listed in the Alexandria database.

POSCAR file:
```
ZnPtRh2
1.0
2.785 0.000 0.000
0.000 3.794 0.000
0.000 0.000 5.491
Zn Pt Rh
1 1 2
direct
0.000 0.000 0.000
0.000 0.000 0.500
0.500 0.500 0.246
0.500 0.500 0.754
```

Values from the calculation:
Mass density ... 13.35 g cm⁻³
E_tot ... -5.6577 eV/atom
SG ... Pmmm, No. 47
Formation energy ... -0.15 eV per atom


(2)
First-principles (PBE-GGA) data for Ca2CrInN4 after structural relaxation, as listed in the Alexandria database.

POSCAR file:
```
Ca2CrInN4
1.0
7.191 0.000 0.000
0.000 6.301 0.000
0.000 0.000 5.538
Ca Cr In N
4 2 2 8
direct
0.249 0.185 0.000
0.251 0.815 0.500
0.749 0.815 0.500
0.751 0.185 0.000
0.000 0.671 0.018
0.500 0.329 0.518
0.000 0.333 0.505
0.500 0.667 0.005
0.000 0.411 0.895
0.000 0.643 0.334
0.208 0.815 0.936
0.292 0.185 0.436
0.500 0.357 0.834
0.500 0.589 0.395
0.708 0.185 0.436
0.792 0.815 0.936
```

Values from the calculation:
Mass density ... 4.01 g cm⁻³
E_tot ... -6.7771 eV/atom
SG ... Pmn2_1, No. 31
Raw formation energy ... -0.5688 eV per atom


(3)
First-principles (PBE-GGA) data for LaEr2Tm5Th after structural relaxation, as listed in the Alexandria database.

POSCAR file:
```
LaEr2Tm5Th
1.0
-4.308 4.308 7.639
4.308 -4.308 7.639
4.308 4.308 -7.639
La Er Tm Th
2 4 10 2
direct
0.250 0.750 0.500
0.750 0.250 0.500
0.117 0.617 0.733
0.383 0.117 0.500
0.617 0.883 0.500
0.883 0.383 0.267
0.000 0.000 0.000
0.071 0.160 0.500
0.160 0.660 0.089
0.340 0.429 0.500
0.429 0.929 0.089
0.500 0.500 0.000
0.571 0.071 0.911
0.660 0.571 0.500
0.840 0.340 0.911
0.929 0.840 0.500
0.250 0.250 0.000
0.750 0.750 0.000
```

Values from the calculation:
Mass density ... 9.08 g cm⁻³
E_tot ... -4.5615 eV/atom
SG ... I4/mcm, No. 140
Formation energy ... 0.31 eV per atom


(4)
First-principles (PBE-GGA) data for As5Pt after structural relaxation, as listed in the Alexandria database.

POSCAR file:
```
As5Pt
1.0
12.016 0.000 0.000
0.000 3.722 0.000
-1.306 0.000 5.905
As Pt
10 2
direct
0.000 0.000 0.000
0.048 0.000 0.641
0.206 0.500 0.369
0.297 0.000 0.979
0.351 0.000 0.410
0.500 0.500 0.000
0.548 0.500 0.641
0.706 0.000 0.369
0.797 0.500 0.979
0.851 0.500 0.410
0.149 0.500 0.937
0.649 0.000 0.937
```

Values from the calculation:
Mass density ... 7.16 g cm⁻³
E_tot ... -4.8700 eV/atom
SG ... Cm, No. 8
Formation energy ... 0.01 eV per atom


(5)
First-principles (PBE-GGA) data for TbPmMgAu after structural relaxation, as listed in the Alexandria database.

POSCAR file:
```
TbPmMgAu
1.0
7.452 0.000 0.000
0.000 7.452 0.000
0.000 0.000 7.452
Tb Pm Mg Au
4 4 4 4
direct
0.000 0.000 0.000
0.000 0.500 0.500
0.500 0.000 0.500
0.500 0.500 0.000
0.000 0.000 0.500
0.000 0.500 0.000
0.500 0.000 0.000
0.500 0.500 0.500
0.250 0.250 0.250
0.250 0.750 0.750
0.750 0.250 0.750
0.750 0.750 0.250
0.250 0.250 0.750
0.250 0.750 0.250
0.750 0.250 0.250
0.750 0.750 0.750
```

Values from the calculation:
Mass density ... 8.43 g cm⁻³
E_tot ... -3.9498 eV/atom
SG ... F-43m, No. 216
Formation energy ... -0.39 eV per atom


(6)
First-principles (PBE-GGA) data for Ba8Na2Pd after structural relaxation, as listed in the Alexandria database.

POSCAR file:
```
Ba8Na2Pd
1.0
11.150 -3.317 0.000
11.150 3.317 0.000
-2.795 0.000 7.776
Ba Na Pd
8 2 1
direct
0.013 0.013 0.287
0.208 0.208 0.801
0.366 0.366 0.535
0.415 0.415 0.091
0.585 0.585 0.909
0.634 0.634 0.465
0.792 0.792 0.199
0.987 0.987 0.713
0.180 0.180 0.237
0.820 0.820 0.763
0.500 0.500 0.500
```

Values from the calculation:
Mass density ... 3.61 g cm⁻³
E_tot ... -2.1746 eV/atom
SG ... C2/m, No. 12
Formation energy ... -0.06 eV per atom


(7)
First-principles (PBE-GGA) data for La3DyY2As6 after structural relaxation, as listed in the Alexandria database.

POSCAR file:
```
La3DyY2As6
1.0
3.683 -6.378 0.000
3.683 6.378 0.000
-2.454 0.000 6.932
La Dy Y As
3 1 2 6
direct
0.000 0.000 0.000
0.333 0.667 0.000
0.667 0.333 0.000
0.500 0.500 0.500
0.167 0.833 0.500
0.833 0.167 0.500
0.088 0.421 0.263
0.246 0.246 0.737
0.421 0.088 0.263
0.579 0.912 0.737
0.754 0.754 0.263
0.912 0.579 0.737
```

Values from the calculation:
Mass density ... 6.15 g cm⁻³
E_tot ... -6.5712 eV/atom
SG ... C2/m, No. 12
Formation energy ... -1.55 eV per atom


(8)
First-principles (PBE-GGA) data for BaZn2Fe after structural relaxation, as listed in the Alexandria database.

POSCAR file:
```
BaZn2Fe
1.0
4.419 0.000 0.000
0.000 5.904 0.000
0.000 0.000 7.660
Ba Zn Fe
2 4 2
direct
0.000 0.000 0.000
0.500 0.500 0.500
0.000 0.500 0.178
0.000 0.500 0.822
0.500 0.000 0.322
0.500 0.000 0.678
0.000 0.000 0.500
0.500 0.500 0.000
```

Values from the calculation:
Mass density ... 5.38 g cm⁻³
E_tot ... -2.8690 eV/atom
SG ... Immm, No. 71
Formation energy ... 0.36 eV per atom


(9)
First-principles (PBE-GGA) data for InAsRhBr2 after structural relaxation, as listed in the Alexandria database.

POSCAR file:
```
InAsRhBr2
1.0
5.457 0.000 0.000
0.000 5.457 0.000
0.000 0.000 5.342
In As Rh Br
1 1 1 2
direct
0.000 0.000 0.000
0.000 0.000 0.500
0.500 0.500 0.500
0.000 0.500 0.000
0.500 0.000 0.000
```

Values from the calculation:
Mass density ... 4.72 g cm⁻³
E_tot ... -2.7940 eV/atom
SG ... P4/mmm, No. 123
Raw formation energy ... 0.8230 eV per atom


(10)
First-principles (PBE-GGA) data for PuU5P6 after structural relaxation, as listed in the Alexandria database.

POSCAR file:
```
PuU5P6
1.0
3.416 -5.915 0.000
3.416 5.915 0.000
-2.276 0.000 6.453
Pu U P
1 5 6
direct
0.000 0.000 0.000
0.166 0.834 0.500
0.333 0.667 0.000
0.500 0.500 0.500
0.667 0.333 0.000
0.834 0.166 0.500
0.084 0.418 0.251
0.251 0.251 0.750
0.418 0.084 0.251
0.582 0.916 0.749
0.749 0.749 0.250
0.916 0.582 0.749
```

Values from the calculation:
Mass density ... 10.31 g cm⁻³
E_tot ... -9.5962 eV/atom
SG ... C2/m, No. 12
Formation energy ... -0.99 eV per atom


(11)
First-principles (PBE-GGA) data for ZnSeS2N after structural relaxation, as listed in the Alexandria database.

POSCAR file:
```
ZnSeS2N
1.0
4.916 0.000 0.000
0.000 4.916 0.000
0.000 0.000 3.671
Zn Se S N
1 1 2 1
direct
0.000 0.000 0.000
0.500 0.500 0.500
0.000 0.500 0.500
0.500 0.000 0.500
0.500 0.500 0.000
```

Values from the calculation:
Mass density ... 4.16 g cm⁻³
E_tot ... -3.2304 eV/atom
SG ... P4/mmm, No. 123
Raw formation energy ... 1.0373 eV per atom


(12)
First-principles (PBE-GGA) data for Ca3Mg2 after structural relaxation, as listed in the Alexandria database.

POSCAR file:
```
Ca3Mg2
1.0
3.619 2.090 7.987
-3.619 2.090 7.987
0.000 -4.179 7.987
Ca Mg
6 4
direct
0.210 0.750 0.290
0.250 0.710 0.790
0.290 0.210 0.750
0.710 0.790 0.250
0.750 0.290 0.210
0.790 0.250 0.710
0.190 0.190 0.190
0.310 0.310 0.310
0.690 0.690 0.690
0.810 0.810 0.810
```

Values from the calculation:
Mass density ... 1.55 g cm⁻³
E_tot ... -1.7408 eV/atom
SG ... R-3c, No. 167
Formation energy ... 0.10 eV per atom


(13)
First-principles (PBE-GGA) data for ZnSe2SCl after structural relaxation, as listed in the Alexandria database.

POSCAR file:
```
ZnSe2SCl
1.0
4.868 0.000 0.000
0.000 4.868 0.000
0.000 0.000 4.944
Zn Se S Cl
1 2 1 1
direct
0.000 0.000 0.000
0.000 0.500 0.500
0.500 0.000 0.500
0.000 0.000 0.500
0.500 0.500 0.000
```

Values from the calculation:
Mass density ... 4.12 g cm⁻³
E_tot ... -2.4038 eV/atom
SG ... P4/mmm, No. 123
Raw formation energy ... 0.4396 eV per atom


(14)
First-principles (PBE-GGA) data for Sm6Cd2Pt after structural relaxation, as listed in the Alexandria database.

POSCAR file:
```
Sm6Cd2Pt
1.0
6.243 0.000 0.000
0.000 9.259 0.000
-5.397 0.000 9.372
Sm Cd Pt
12 4 2
direct
0.054 0.185 0.460
0.054 0.315 0.960
0.349 0.672 0.447
0.349 0.828 0.947
0.383 0.032 0.282
0.383 0.468 0.782
0.617 0.532 0.218
0.617 0.968 0.718
0.651 0.172 0.053
0.651 0.328 0.553
0.946 0.685 0.040
0.946 0.815 0.540
0.143 0.113 0.757
0.143 0.387 0.257
0.857 0.613 0.743
0.857 0.887 0.243
0.000 0.000 0.000
0.000 0.500 0.500
```

Values from the calculation:
Mass density ... 8.10 g cm⁻³
E_tot ... -4.3236 eV/atom
SG ... P2_1/c, No. 14
Formation energy ... -0.30 eV per atom


(15)
First-principles (PBE-GGA) data for Na2LaPd2 after structural relaxation, as listed in the Alexandria database.

POSCAR file:
```
Na2LaPd2
1.0
8.303 0.000 0.000
0.000 8.303 0.000
0.000 0.000 3.227
Na La Pd
4 2 4
direct
0.117 0.383 0.000
0.383 0.883 0.000
0.617 0.117 0.000
0.883 0.617 0.000
0.000 0.000 0.500
0.500 0.500 0.500
0.185 0.685 0.500
0.315 0.185 0.500
0.685 0.815 0.500
0.815 0.315 0.500
```

Values from the calculation:
Mass density ... 5.94 g cm⁻³
E_tot ... -3.7797 eV/atom
SG ... P4/mbm, No. 127
Formation energy ... -0.19 eV per atom


(16)
First-principles (PBE-GGA) data for Pm5ThAs6 after structural relaxation, as listed in the Alexandria database.

POSCAR file:
```
Pm5ThAs6
1.0
3.676 -6.360 0.000
3.676 6.360 0.000
-2.450 0.000 6.925
Pm Th As
5 1 6
direct
0.000 0.000 0.000
0.166 0.834 0.500
0.333 0.667 0.000
0.667 0.333 0.000
0.834 0.166 0.500
0.500 0.500 0.500
0.085 0.417 0.251
0.252 0.252 0.749
0.417 0.085 0.251
0.583 0.915 0.749
0.748 0.748 0.251
0.915 0.583 0.749
```

Values from the calculation:
Mass density ... 7.21 g cm⁻³
E_tot ... -6.4511 eV/atom
SG ... C2/m, No. 12
Formation energy ... -1.53 eV per atom


(17)
First-principles (PBE-GGA) data for CdSiNi after structural relaxation, as listed in the Alexandria database.

POSCAR file:
```
CdSiNi
1.0
3.945 0.000 0.000
-1.972 3.416 0.000
0.000 0.000 3.636
Cd Si Ni
1 1 1
direct
0.000 0.000 0.000
0.333 0.667 0.500
0.667 0.333 0.500
```

Values from the calculation:
Mass density ... 6.75 g cm⁻³
E_tot ... -4.0118 eV/atom
SG ... P-6m2, No. 187
Raw formation energy ... 0.0280 eV per atom


(18)
First-principles (PBE-GGA) data for TiMnAu2 after structural relaxation, as listed in the Alexandria database.

POSCAR file:
```
TiMnAu2
1.0
6.341 0.000 0.000
0.000 6.341 0.000
0.000 0.000 6.341
Ti Mn Au
4 4 8
direct
0.000 0.000 0.000
0.000 0.500 0.500
0.500 0.000 0.500
0.500 0.500 0.000
0.000 0.000 0.500
0.000 0.500 0.000
0.500 0.000 0.000
0.500 0.500 0.500
0.250 0.250 0.250
0.250 0.250 0.750
0.250 0.750 0.250
0.250 0.750 0.750
0.750 0.250 0.250
0.750 0.250 0.750
0.750 0.750 0.250
0.750 0.750 0.750
```

Values from the calculation:
Mass density ... 12.94 g cm⁻³
E_tot ... -5.7244 eV/atom
SG ... Fm-3m, No. 225
Formation energy ... 0.18 eV per atom


(19)
First-principles (PBE-GGA) data for Ag3TeBr2F6 after structural relaxation, as listed in the Alexandria database.

POSCAR file:
```
Ag3TeBr2F6
1.0
7.221 -3.531 0.000
7.221 3.531 0.000
-0.446 0.000 5.004
Ag Te Br F
3 1 2 6
direct
0.000 0.000 0.000
0.000 0.500 0.500
0.500 0.000 0.500
0.500 0.500 0.500
0.183 0.183 0.159
0.817 0.817 0.841
0.241 0.654 0.256
0.346 0.759 0.744
0.380 0.380 0.676
0.620 0.620 0.324
0.654 0.241 0.256
0.759 0.346 0.744
```

Values from the calculation:
Mass density ... 4.72 g cm⁻³
E_tot ... -3.4712 eV/atom
SG ... C2/m, No. 12
Raw formation energy ... -1.2821 eV per atom


(20)
First-principles (PBE-GGA) data for TlPOs2 after structural relaxation, as listed in the Alexandria database.

POSCAR file:
```
TlPOs2
1.0
6.416 0.000 0.000
0.000 6.416 0.000
0.000 0.000 6.416
Tl P Os
4 4 8
direct
0.000 0.000 0.000
0.000 0.500 0.500
0.500 0.000 0.500
0.500 0.500 0.000
0.250 0.250 0.750
0.250 0.750 0.250
0.750 0.250 0.250
0.750 0.750 0.750
0.000 0.000 0.500
0.000 0.500 0.000
0.250 0.250 0.250
0.250 0.750 0.750
0.500 0.000 0.000
0.500 0.500 0.500
0.750 0.250 0.750
0.750 0.750 0.250
```

Values from the calculation:
Mass density ... 15.49 g cm⁻³
E_tot ... -6.4103 eV/atom
SG ... F-43m, No. 216
Formation energy ... 1.15 eV per atom